# BaZn2B

Crystalline BaZn2B at its relaxed geometry (PBE-GGA, Alexandria via LeMat-Bulk).

Summary:
Magnetic moment ... 0.0 μB per formula unit
Calculated formation energy ... 0.19 eV per atom

The structure in CIF format:
```
data_BaZn2B
_chemical_formula_sum 'Ba4 Zn8 B4'
_cell_length_a 5.360
_cell_length_b 5.360
_cell_length_c 12.824
_cell_angle_alpha 90.00
_cell_angle_beta 90.00
_cell_angle_gamma 90.00
_symmetry_space_group_name_H-M 'I 41/a m d'
_symmetry_Int_Tables_number 141
loop_
_symmetry_equiv_pos_as_xyz
'x,y,z'
'-x,-y,-z'
'-y+1/4,x+3/4,z+1/4'
'y+1/4,-x+3/4,-z+1/4'
'-x+1/2,-y,z+1/2'
'x+1/2,y,-z+1/2'
'y+1/4,-x+1/4,z+3/4'
'-y+1/4,x+1/4,-z+3/4'
'x,-y,-z'
'-x,y,z'
'-y+1/4,-x+1/4,-z+3/4'
'y+1/4,x+1/4,z+3/4'
'-x+1/2,y,-z+1/2'
'x+1/2,-y,z+1/2'
'y+1/4,x+3/4,-z+1/4'
'-y+1/4,-x+3/4,z+1/4'
'x+1/2,y+1/2,z+1/2'
'-x+1/2,-y+1/2,-z+1/2'
'-y+3/4,x+1/4,z+3/4'
'y+3/4,-x+1/4,-z+3/4'
'-x,-y+1/2,z'
'x,y+1/2,-z'
'y+3/4,-x+3/4,z+1/4'
'-y+3/4,x+3/4,-z+1/4'
'x+1/2,-y+1/2,-z+1/2'
'-x+1/2,y+1/2,z+1/2'
'-y+3/4,-x+3/4,-z+1/4'
'y+3/4,x+3/4,z+1/4'
'-x,y+1/2,-z'
'x,-y+1/2,z'
'y+3/4,x+1/4,-z+3/4'
'-y+3/4,-x+1/4,z+3/4'
loop_
_atom_site_label
_atom_site_type_symbol
_atom_site_fract_x
_atom_site_fract_y
_atom_site_fract_z
Ba1 Ba 0.000 0.250 0.375
Zn1 Zn 0.000 0.000 0.000
B1 B 0.000 0.250 0.875
```